Entry 1:
A relaxed ScBeSi2 crystal, computed with PBE-GGA.

Calculated values
Space group: F-43m (216)
Size of the total moment in μB per atom: 0.000
Formation energy from raw total energies in eV per atom: 0.2199

Cell and atoms, written as extended XYZ:
```
4
Lattice="4.400 0.000 0.000 2.200 3.811 0.000 2.200 1.270 3.593" Properties=species:S:1:pos:R:3 pbc="T T T"
Sc 2.200 1.270 0.898
Be 4.400 2.540 1.796
Si 0.000 0.000 0.000
Si 6.600 3.811 2.694
```



Entry 2:
A relaxed Sc3Be2Si4 crystal, computed with PBE-GGA.

Calculated values
Space group: C2/m (12)
Size of the total moment in μB per atom: 0.000
Formation energy from raw total energies in eV per atom: -0.6103

Cell and atoms, written as extended XYZ:
```
9
Lattice="-2.438 -1.310 -2.621 1.000 -3.697 3.689 -5.585 3.903 3.244" Properties=species:S:1:pos:R:3 pbc="T T T"
Sc -5.017 0.519 1.635
Sc 0.000 0.000 0.000
Sc -2.006 -1.624 2.677
Be -2.843 -0.510 0.129
Be -4.179 -0.594 4.184
Si -1.669 -2.274 -0.082
Si -5.353 1.169 4.395
Si -4.845 -2.068 2.769
Si -2.177 0.963 1.544
```



Entry 3:
A relaxed ScBeSi crystal, computed with PBE-GGA.

Calculated values
Space group: P-6m2 (187)
Size of the total moment in μB per atom: 0.000
Formation energy from raw total energies in eV per atom: -0.6050

Cell and atoms, written as extended XYZ:
```
3
Lattice="3.758 0.000 0.000 -1.879 3.254 0.000 0.000 0.000 3.711" Properties=species:S:1:pos:R:3 pbc="T T T"
Sc 1.879 1.085 1.238
Be 0.000 0.000 3.091
Si 0.000 2.170 3.093
```



Entry 4:
A relaxed ScBeSi2 crystal, computed with PBE-GGA.

Calculated values
Space group: I4/mmm (139)
Size of the total moment in μB per atom: 0.000
Formation energy from raw total energies in eV per atom: -0.1959

Cell and atoms, written as extended XYZ:
```
4
Lattice="4.930 0.000 0.000 2.193 4.416 0.000 -3.562 -2.208 2.598" Properties=species:S:1:pos:R:3 pbc="T T T"
Sc 2.465 0.000 1.299
Be 1.097 2.208 1.299
Si 0.000 0.000 0.000
Si 3.562 2.208 0.000
```



Entry 5:
A relaxed ScBeSi crystal, computed with PBE-GGA.

Calculated values
Space group: P-6m2 (187)
Size of the total moment in μB per atom: 0.000
Formation energy from raw total energies in eV per atom: -0.6078

Cell and atoms, written as extended XYZ:
```
9
Lattice="3.767 0.000 0.000 -1.883 3.262 0.000 0.000 0.000 11.048" Properties=species:S:1:pos:R:3 pbc="T T T"
Sc 0.000 3.227 0.000
Sc 0.000 3.227 7.366
Sc 0.000 3.227 3.683
Be 0.000 1.053 1.789
Be 0.000 1.053 9.259
Be 1.883 2.140 5.524
Si 1.883 2.140 1.864
Si 1.883 2.140 9.184
Si 0.000 1.053 5.524
```



Entry 6:
A relaxed ScBeSi2 crystal, computed with PBE-GGA.

Calculated values
Space group: I-42d (122)
Size of the total moment in μB per atom: 0.000
Formation energy from raw total energies in eV per atom: -0.0106

Cell and atoms, written as extended XYZ:
```
8
Lattice="-0.137 4.036 1.794 -3.168 -1.341 2.774 3.457 -0.644 7.156" Properties=species:S:1:pos:R:3 pbc="T T T"
Sc 0.000 0.000 0.000
Sc 0.833 2.370 5.617
Be -1.653 1.348 2.284
Be -0.682 -0.318 6.107
Si 0.400 1.664 3.021
Si -1.151 0.036 3.983
Si 0.937 0.352 7.445
Si 0.117 2.052 9.000
```



Entry 7:
A relaxed Sc3BeSi crystal, computed with PBE-GGA.

Calculated values
E above lowest polymorph in meV/atom: 0
Space group: Pm-3m (221)
Size of the total moment in μB per atom: 0.000
Formation energy from raw total energies in eV per atom: 0.0728

Cell and atoms, written as extended XYZ:
```
5
Lattice="-3.204 -2.432 2.406 2.124 -3.999 -1.214 2.683 0.260 3.835" Properties=species:S:1:pos:R:3 pbc="T T T"
Sc 1.062 -1.999 -0.607
Sc 1.341 0.130 1.918
Sc -1.602 -1.216 1.203
Be 0.000 0.000 0.000
Si 0.801 -3.085 2.514
```



Entry 8:
A relaxed ScBeSi2 crystal, computed with PBE-GGA.

Calculated values
Space group: P4/mmm (123)
Size of the total moment in μB per atom: 0.000
Formation energy from raw total energies in eV per atom: -0.2324

Cell and atoms, written as extended XYZ:
```
4
Lattice="3.826 0.000 0.000 0.000 3.825 0.000 0.000 0.000 3.841" Properties=species:S:1:pos:R:3 pbc="T T T"
Sc 0.000 1.913 1.920
Be 1.913 0.000 1.920
Si 0.000 0.000 0.000
Si 1.913 1.913 0.000
```



Entry 9:
A relaxed Sc2Be2Si3 crystal, computed with PBE-GGA.

Calculated values
Space group: Cmcm (63)
Size of the total moment in μB per atom: 0.000
Formation energy from raw total energies in eV per atom: -0.4453

Cell and atoms, written as extended XYZ:
```
14
Lattice="3.674 0.000 -0.876 0.000 6.348 0.000 0.140 0.000 8.730" Properties=species:S:1:pos:R:3 pbc="T T T"
Sc 0.632 1.587 2.650
Sc 3.182 4.761 5.204
Sc 3.606 1.587 6.983
Sc 0.208 4.761 0.872
Be 2.541 5.838 2.516
Be 1.273 0.509 5.339
Be 1.273 2.664 5.339
Be 2.541 3.683 2.516
Si 0.868 4.761 3.640
Si 2.946 1.587 4.214
Si 2.084 2.739 0.600
Si 1.729 3.609 7.254
Si 1.729 5.912 7.254
Si 2.084 0.435 0.600
```



Entry 10:
A relaxed ScBeSi4 crystal, computed with PBE-GGA.

Calculated values
Space group: F-43m (216)
Size of the total moment in μB per atom: 0.000
Formation energy from raw total energies in eV per atom: 0.1136

Cell and atoms, written as extended XYZ:
```
6
Lattice="4.348 -2.145 -1.134 2.660 -2.263 3.549 0.409 -4.962 0.022" Properties=species:S:1:pos:R:3 pbc="T T T"
Sc 0.000 0.000 0.000
Be 5.563 -7.028 1.828
Si 4.951 -4.587 0.350
Si 2.988 -5.991 0.926
Si 4.110 -4.646 2.683
Si 2.785 -3.518 0.915
```



Entry 11:
A relaxed ScBeSi crystal, computed with PBE-GGA.

Calculated values
Space group: I-4m2 (119)
Size of the total moment in μB per atom: 0.000
Formation energy from raw total energies in eV per atom: -0.5227

Cell and atoms, written as extended XYZ:
```
6
Lattice="3.733 0.000 0.000 0.000 3.733 0.000 -1.866 -1.866 6.543" Properties=species:S:1:pos:R:3 pbc="T T T"
Sc 0.000 1.866 3.272
Sc 1.866 1.866 0.000
Be 1.866 0.000 4.311
Be 1.866 0.000 2.232
Si 1.866 1.866 5.376
Si 0.000 0.000 1.167
```



Entry 12:
A relaxed ScBeSi crystal, computed with PBE-GGA.

Calculated values
Space group: F-43m (216)
Size of the total moment in μB per atom: 0.000
Formation energy from raw total energies in eV per atom: -0.3462

Cell and atoms, written as extended XYZ:
```
3
Lattice="3.997 0.000 0.000 1.999 3.462 0.000 1.999 1.154 3.264" Properties=species:S:1:pos:R:3 pbc="T T T"
Sc 0.000 0.000 0.000
Be 5.996 3.462 2.448
Si 3.997 2.308 1.632
```



- Number 3 is which compound?
  ScBeSi



- What is the formation energy from raw total energies in the fifth record?
  -0.6078 eV per atom